Here is a relaxed structure of CdTcCl2 from the Alexandria database. Energies are from PBE.

## Properties
* energy above the lowest structure with this stoichiometry: 0.385 eV per atom
* formation energy from raw total energies: 4.2 kcal/mol of atoms
* total moment: 1.35 μB/f.u.

Lattice parameters (Å, degrees): 3.3109 4.0931 5.9518 90.00 102.86 90.00
Closest atoms and distances in Å follow each position.
Space group P2/m (No. 10)
Asymmetric unit:
Cd: 0.0000 0.0000 0.0000 x1  8 Cl 3.05-3.13, 2 Tc 3.07, 2 Cd 3.31
Tc: 0.5000 0.0000 0.5000 x1  4 Cl 2.49
Cl: 0.4102 0.5000 0.7213 x2  2 Tc 2.49